# 1
This record from Alexandria via LeMat-Bulk describes a relaxed Tb3Pm6Dy2 crystal. The functional is GGA-PBE.

Cell lengths 4.779, 4.779, 17.161 Å; angles 98.00, 98.00, 90.00 degrees
Atoms (fractional coordinates):
Tb: 0.198 0.198 0.396
Pm: 0.700 0.700 0.400
Pm: 0.300 0.300 0.600
Dy: 0.545 0.545 0.091
Pm: 0.380 0.880 0.759
Pm: 0.880 0.380 0.759
Tb: 0.000 0.000 0.000
Dy: 0.455 0.455 0.909
Tb: 0.802 0.802 0.604
Pm: 0.620 0.120 0.241
Pm: 0.120 0.620 0.241

Output
E_form: 287 meV/atom

***

# 2
This record from Alexandria via LeMat-Bulk describes a relaxed TbPm4Dy3 crystal. The functional is GGA-PBE.

Cell lengths 6.314, 7.318, 11.551 Å; angles 90.00, 90.00, 90.00 degrees
Atoms (fractional coordinates):
Pm: 0.646 0.127 0.500
Dy: 0.481 0.378 0.750
Dy: 0.981 0.622 0.250
Pm: 0.981 0.127 0.251
Pm: 0.981 0.127 0.749
Dy: 0.981 0.622 0.750
Tb: 0.649 0.623 0.500
Dy: 0.481 0.378 0.250
Pm: 0.481 0.873 0.249
Dy: 0.148 0.378 0.500
Pm: 0.481 0.873 0.751
Pm: 0.146 0.873 0.000
Pm: 0.648 0.127 0.000
Dy: 0.648 0.622 0.000
Tb: 0.149 0.377 0.000
Pm: 0.148 0.873 0.500

Output
E_form: 25 meV/atom

***

# 3
This record from Alexandria via LeMat-Bulk describes a relaxed Tb6Pm3Dy crystal. The functional is GGA-PBE.

Cell lengths 6.623, 9.672, 6.661 Å; angles 111.03, 119.81, 90.00 degrees
Atoms (fractional coordinates):
Pm: 0.931 0.303 0.862
Tb: 0.932 0.311 0.373
Tb: 0.068 0.689 0.627
Tb: 0.362 0.079 0.725
Pm: 0.069 0.697 0.138
Pm: 0.000 0.000 0.000
Tb: 0.440 0.311 0.373
Dy: 0.500 0.500 0.000
Tb: 0.560 0.689 0.627
Tb: 0.638 0.921 0.275

Output
E_form: 226 meV/atom

***

Among the records above, which one has the lowest E_form?
TbPm4Dy3

***

The highest E_form belongs to which entry?
Tb3Pm6Dy2